1.
# Tl2TcW (GGA-PBE, relaxed)
data_Tl2TcW
_chemical_formula_sum 'Tl2 Tc1 W1'
_space_group_name_H-M_alt 'P 1'
_space_group_IT_number 1
_space_group_name_Hall 'P 1'
_cell_length_a 4.7311
_cell_length_b 4.7311
_cell_length_c 4.7311
_cell_angle_alpha 60.00
_cell_angle_beta 60.00
_cell_angle_gamma 60.00
loop_
_atom_site_label
_atom_site_fract_x
_atom_site_fract_y
_atom_site_fract_z
Tl1 0.2500 0.2500 0.2500
Tl2 0.7500 0.7500 0.7500
Tc1 0.0000 0.0000 0.0000
W1 0.5000 0.5000 0.5000
# Final energy (eV for the cell shown): -23.33
# ΔH_f (0 K) (eV per atom): 1.180
# Space group: Fm-3m

=====

2.
# CeTmAgSn (GGA-PBE, relaxed)
data_CeTmAgSn
_chemical_formula_sum 'Ce1 Tm1 Ag1 Sn1'
_space_group_name_H-M_alt 'P 1'
_space_group_IT_number 1
_space_group_name_Hall 'P 1'
_cell_length_a 5.2833
_cell_length_b 5.2833
_cell_length_c 5.2833
_cell_angle_alpha 60.00
_cell_angle_beta 60.00
_cell_angle_gamma 60.00
loop_
_atom_site_label
_atom_site_fract_x
_atom_site_fract_y
_atom_site_fract_z
Ce1 0.0000 0.0000 0.0000
Tm1 0.5000 0.5000 0.5000
Ag1 0.2500 0.2500 0.2500
Sn1 0.7500 0.7500 0.7500
# Final energy (eV for the cell shown): -18.88
# ΔH_f (0 K) (eV per atom): -0.405
# Space group: F-43m